# 1
{
  "formula": "KRe3",
  "functional": "PBE",
  "state": "relaxed",
  "lattice_angstrom": [[-0.317, 4.185, -3.641], [-4.376, -1.156, 3.223], [0.888, 1.623, 1.788]],
  "species": ["K", "Re", "Re", "Re"],
  "fractional_positions": [[0.000, 0.000, 0.000], [0.500, 0.000, 0.500], [0.000, 0.500, 0.500], [0.500, 0.500, 0.000]],
  "dos_at_fermi_per_ev_cell": 4.7,
  "delta_e_f_ev_per_fu": 6.45,
  "relative_energy_kcal_per_mol_atoms": 20.42
}

=====

# 2
{
  "formula": "Sr2SnBi3",
  "functional": "PBE",
  "state": "relaxed",
  "lattice_angstrom": [[5.127, 0.000, 0.000], [0.000, 7.580, 0.000], [0.000, 0.000, 21.859]],
  "species": ["Sr", "Sr", "Sr", "Sr", "Sr", "Sr", "Sr", "Sr", "Sn", "Sn", "Sn", "Sn", "Bi", "Bi", "Bi", "Bi", "Bi", "Bi", "Bi", "Bi", "Bi", "Bi", "Bi", "Bi"],
  "fractional_positions": [[0.250, 0.209, 0.704], [0.750, 0.291, 0.204], [0.250, 0.225, 0.915], [0.750, 0.775, 0.085], [0.250, 0.709, 0.796], [0.750, 0.791, 0.296], [0.250, 0.725, 0.585], [0.750, 0.275, 0.415], [0.750, 0.549, 0.934], [0.750, 0.049, 0.566], [0.250, 0.451, 0.066], [0.250, 0.951, 0.434], [0.750, 0.743, 0.459], [0.750, 0.243, 0.041], [0.250, 0.257, 0.541], [0.250, 0.615, 0.198], [0.250, 0.021, 0.146], [0.250, 0.521, 0.354], [0.750, 0.885, 0.698], [0.750, 0.479, 0.646], [0.250, 0.757, 0.959], [0.750, 0.385, 0.802], [0.250, 0.115, 0.302], [0.750, 0.979, 0.854]],
  "dos_at_fermi_per_ev_cell": 9.9,
  "delta_e_f_ev_per_fu": -3.12
}